(1)
# Ba2NaOsO6

Crystalline Ba2NaOsO6 at its relaxed geometry (PBE, Alexandria). Values from VASP.

Computed properties:
* crystal system: cubic
* space-group type: Fm-3m
* formation energy (no corrections): -1.97 eV per atom

Geometry as Quantum ESPRESSO input:
```
&SYSTEM
  ibrav = 0, nat = 10, ntyp = 4
/
ATOMIC_SPECIES
Ba 137.33 Ba.upf
Na 22.99 Na.upf
Os 190.23 Os.upf
O 16.00 O.upf
ATOMIC_POSITIONS angstrom
Ba -1.880 3.085 0.409
Ba -5.640 9.255 1.228
Na -3.760 6.170 0.819
Os 0.000 0.000 0.000
O -2.862 8.278 0.810
O -2.072 5.456 2.195
O -5.448 6.883 -0.557
O -2.497 5.623 -1.013
O -4.658 4.062 0.828
O -5.023 6.716 2.651
CELL_PARAMETERS angstrom
-1.446 5.169 -2.538
-5.406 2.308 0.836
-0.668 4.863 3.340
```

(2)
# Sm3CSe2

Crystalline Sm3CSe2 at its relaxed geometry (PBE, Alexandria). Values from VASP.

Computed properties:
* crystal system: monoclinic
* space-group type: C2/c
* formation energy (no corrections): -1.32 eV per atom

Geometry as Quantum ESPRESSO input:
```
&SYSTEM
  ibrav = 0, nat = 12, ntyp = 3
/
ATOMIC_SPECIES
Sm 150.36 Sm.upf
C 12.01 C.upf
Se 78.96 Se.upf
ATOMIC_POSITIONS angstrom
Sm 2.753 1.949 0.001
Sm 3.003 5.848 0.002
Sm -0.002 0.001 1.705
Sm 2.876 1.947 4.545
Sm 0.002 3.900 1.707
Sm 2.880 5.846 4.547
C 5.619 5.848 0.002
C 0.137 1.949 0.001
Se 2.879 3.899 2.187
Se 2.877 0.000 2.185
Se 0.001 5.846 4.067
Se -0.001 1.948 4.065
CELL_PARAMETERS angstrom
5.756 0.000 0.000
0.000 7.797 0.003
-2.878 -1.950 6.249
```

Please write out number 1 again, unchanged.
# Ba2NaOsO6

Crystalline Ba2NaOsO6 at its relaxed geometry (PBE, Alexandria). Values from VASP.

Computed properties:
* crystal system: cubic
* space-group type: Fm-3m
* formation energy (no corrections): -1.97 eV per atom

Geometry as Quantum ESPRESSO input:
```
&SYSTEM
  ibrav = 0, nat = 10, ntyp = 4
/
ATOMIC_SPECIES
Ba 137.33 Ba.upf
Na 22.99 Na.upf
Os 190.23 Os.upf
O 16.00 O.upf
ATOMIC_POSITIONS angstrom
Ba -1.880 3.085 0.409
Ba -5.640 9.255 1.228
Na -3.760 6.170 0.819
Os 0.000 0.000 0.000
O -2.862 8.278 0.810
O -2.072 5.456 2.195
O -5.448 6.883 -0.557
O -2.497 5.623 -1.013
O -4.658 4.062 0.828
O -5.023 6.716 2.651
CELL_PARAMETERS angstrom
-1.446 5.169 -2.538
-5.406 2.308 0.836
-0.668 4.863 3.340
```

Question: formation energy (no corrections) of number 1 (Ba2NaOsO6)?
Answer: -1.97 eV per atom

Question: formation energy (no corrections) of number 2 (Sm3CSe2)?
Answer: -1.32 eV per atom